This record from Alexandria describes a relaxed Ba3MnTe2O8 crystal. The functional is GGA+U.

Structure (POSCAR):
```
Ba3MnTe2O8
1.0
6.020 0.000 0.000
-3.010 5.214 0.000
0.000 0.000 8.054
Ba Mn Te O
3 1 2 8
Direct
0.333 0.667 0.634 Ba
0.667 0.333 0.366 Ba
0.000 0.000 0.000 Ba
0.000 0.000 0.500 Mn
0.333 0.667 0.201 Te
0.667 0.333 0.799 Te
0.333 0.667 0.942 O
0.667 0.333 0.058 O
0.166 0.834 0.330 O
0.834 0.166 0.670 O
0.166 0.332 0.330 O
0.834 0.668 0.670 O
0.668 0.834 0.330 O
0.332 0.166 0.670 O
```

Values from the calculation:
For the total energy, the calculation gives -83.4 eV/f.u. As for the symmetry: P-3m1 (164). The total magnetization is 5.00 μB per cell.